(1)
Computed, not measured: crystalline HfScH2F at its relaxed geometry at the PBE level of DFT.

Lattice parameters (Å, degrees): 4.4110 4.4110 3.9128 90.00 90.00 90.00
Space group P4/mmm (No. 123)
Inequivalent atoms, fractional coordinates:
Hf 0.0000 0.0000 0.0000 [1 per cell]
Sc 0.5000 0.5000 0.0000 [1 per cell]
H 0.0000 0.5000 0.5000 [2 per cell]
F 0.0000 0.0000 0.5000 [1 per cell]

Output
E_tot: -25.573 eV for the cell shown
Total magnetic moment: 0.00 μB/cell

---

(2)
Computed, not measured: crystalline HfTaHF2 at its relaxed geometry at the PBE level of DFT.

Lattice parameters (Å, degrees): 4.2898 4.2898 3.5539 90.00 90.00 90.00
Space group P4/mmm (No. 123)
Inequivalent atoms, fractional coordinates:
Hf 0.0000 0.0000 0.0000 [1 per cell]
Ta 0.5000 0.5000 0.0000 [1 per cell]
H 0.0000 0.0000 0.5000 [1 per cell]
F 0.0000 0.5000 0.5000 [2 per cell]

Output
E_tot: -29.974 eV for the cell shown
Total magnetic moment: 0.00 μB/cell